# PBE Th4TlCd, optimized geometry
# DFT formation energy   -0.040 eV/atom
# Volume   366.8 Å³ per cell
# Magnetization   0.000 μB/cell
data_Th4TlCd
_cell_length_a 7.8843
_cell_length_b 7.8843
_cell_length_c 5.9011
_cell_angle_alpha 90.00
_cell_angle_beta 90.00
_cell_angle_gamma 90.00
_symmetry_space_group_name_H-M 'P 4/m c c'
_symmetry_Int_Tables_number 124
_symmetry_space_group_name_Hall '-P 4 2c'
loop_
_atom_site_label
_atom_site_fract_x
_atom_site_fract_y
_atom_site_fract_z
Th1 0.1510 0.3457 0.0000
Tl1 0.5000 0.5000 0.2500
Cd1 0.0000 0.0000 0.2500